1.
Hf3TcRh2, relaxed, DFT GGA-PBE; E above lowest polymorph = 0 meV/atom; VASP energy = -9.99 eV per atom; formation energy from the elements = -0.8319 eV/atom; space group = P4/mmm (123)
1.0
3.294 0.000 0.000
0.000 3.294 0.000
0.000 0.000 9.638
Hf Tc Rh
3 1 2
direct
0.000 0.000 0.000 Hf
0.000 0.000 0.337 Hf
0.000 0.000 0.663 Hf
0.500 0.500 0.500 Tc
0.500 0.500 0.162 Rh
0.500 0.500 0.838 Rh

2.
LaHgAu2C, relaxed, DFT GGA-PBE; VASP energy = -4.06 eV per atom; formation energy from the elements = 0.1379 eV/atom; space group = P4/mmm (123)
1.0
4.487 0.000 0.000
0.000 4.487 0.000
0.000 0.000 5.179
La Hg Au C
1 1 2 1
direct
0.000 0.000 0.000 La
0.500 0.500 0.000 Hg
0.000 0.500 0.500 Au
0.500 0.000 0.500 Au
0.000 0.000 0.500 C

3.
YTiAs2Br, relaxed, DFT GGA-PBE; formation energy from raw total energies = -2.60 eV per formula unit; E above lowest polymorph = 0 meV/atom; VASP energy = -5.59 eV per atom; space group = P4/mmm (123)
1.0
4.944 0.000 0.000
0.000 4.944 0.000
0.000 0.000 4.947
Y Ti As Br
1 1 2 1
direct
0.000 0.000 0.000 Y
0.500 0.500 0.500 Ti
0.000 0.500 0.500 As
0.500 0.000 0.500 As
0.500 0.500 0.000 Br

Which of these has the highest VASP energy?
LaHgAu2C